# PBE-GGA V3BiP, relaxed
data_V3BiP
_chemical_formula_sum 'V3 Bi1 P1'
_symmetry_space_group_name_H-M 'P 1'
_symmetry_Int_Tables_number 1
_cell_length_a 5.146
_cell_length_b 5.146
_cell_length_c 5.146
_cell_angle_alpha 90.00
_cell_angle_beta 90.00
_cell_angle_gamma 90.00
loop_
_symmetry_equiv_pos_as_xyz
'x,y,z'
loop_
_atom_site_label
_atom_site_fract_x
_atom_site_fract_y
_atom_site_fract_z
V1 0.000 0.000 0.500
V2 0.000 0.500 0.000
V3 0.500 0.000 0.000
Bi1 0.000 0.000 0.000
P1 0.500 0.500 0.500
# Formation energy from the elements ... 1671 meV per atom
# Theoretical density ... 4785 kg/m3
# E ... -5.66 eV/atom
# Energy above the most stable polymorph in this dataset ... 7.31 eV/f.u.
# Crystal system ... cubic
# Volume ... 136.3 Å³/cell

***

# PBE-GGA ScBeCd2, relaxed
data_ScBeCd2
_chemical_formula_sum 'Sc1 Be1 Cd2'
_symmetry_space_group_name_H-M 'P 1'
_symmetry_Int_Tables_number 1
_cell_length_a 5.179
_cell_length_b 5.179
_cell_length_c 5.245
_cell_angle_alpha 111.32
_cell_angle_beta 111.32
_cell_angle_gamma 36.27
loop_
_symmetry_equiv_pos_as_xyz
'x,y,z'
loop_
_atom_site_label
_atom_site_fract_x
_atom_site_fract_y
_atom_site_fract_z
Sc1 0.000 0.000 0.000
Be1 0.737 0.737 0.151
Cd1 0.212 0.212 0.682
Cd2 0.436 0.436 0.449
# Formation energy from the elements ... 144 meV per atom
# Theoretical density ... 6020 kg/m3
# E ... -2.83 eV/atom
# Energy above the most stable polymorph in this dataset ... 0.53 eV/f.u.
# Crystal system ... monoclinic
# Volume ... 76.9 Å³/cell

***

# PBE-GGA Ce5Sb2Rh, relaxed
data_Ce5Sb2Rh
_chemical_formula_sum 'Ce10 Sb4 Rh2'
_symmetry_space_group_name_H-M 'P 1'
_symmetry_Int_Tables_number 1
_cell_length_a 7.886
_cell_length_b 12.307
_cell_length_c 4.616
_cell_angle_alpha 90.00
_cell_angle_beta 90.00
_cell_angle_gamma 90.00
loop_
_symmetry_equiv_pos_as_xyz
'x,y,z'
loop_
_atom_site_label
_atom_site_fract_x
_atom_site_fract_y
_atom_site_fract_z
Ce1 0.000 0.000 0.000
Ce2 0.127 0.299 0.000
Ce3 0.213 0.559 0.500
Ce4 0.287 0.059 0.500
Ce5 0.373 0.799 0.000
Ce6 0.500 0.500 0.000
Ce7 0.627 0.201 0.000
Ce8 0.713 0.941 0.500
Ce9 0.787 0.441 0.500
Ce10 0.873 0.701 0.000
Sb1 0.089 0.822 0.500
Sb2 0.411 0.322 0.500
Sb3 0.589 0.678 0.500
Sb4 0.911 0.178 0.500
Rh1 0.000 0.500 0.000
Rh2 0.500 0.000 0.000
# Theoretical density ... 7762 kg/m3
# E ... -6.40 eV/atom
# Formation energy from raw total energies ... -5.9 eV per formula unit
# Energy above the most stable polymorph in this dataset ... 0.00 eV/f.u.
# Crystal system ... orthorhombic
# Volume ... 448.0 Å³/cell

***

# PBE-GGA Zr3ZnP, relaxed
data_Zr3ZnP
_chemical_formula_sum 'Zr3 Zn1 P1'
_symmetry_space_group_name_H-M 'P 1'
_symmetry_Int_Tables_number 1
_cell_length_a 4.860
_cell_length_b 4.860
_cell_length_c 4.860
_cell_angle_alpha 90.00
_cell_angle_beta 90.00
_cell_angle_gamma 90.00
loop_
_symmetry_equiv_pos_as_xyz
'x,y,z'
loop_
_atom_site_label
_atom_site_fract_x
_atom_site_fract_y
_atom_site_fract_z
Zr1 0.000 0.000 0.500
Zr2 0.000 0.500 0.000
Zr3 0.500 0.000 0.000
Zn1 0.500 0.500 0.500
P1 0.000 0.000 0.000
# Formation energy from the elements ... -260 meV per atom
# Theoretical density ... 5352 kg/m3
# E ... -6.73 eV/atom
# Energy above the most stable polymorph in this dataset ... 0.00 eV/f.u.
# Crystal system ... cubic
# Volume ... 114.8 Å³/cell

***

# PBE-GGA Co2NiOs, relaxed
data_Co2NiOs
_chemical_formula_sum 'Co2 Ni1 Os1'
_symmetry_space_group_name_H-M 'P 1'
_symmetry_Int_Tables_number 1
_cell_length_a 4.054
_cell_length_b 4.054
_cell_length_c 4.054
_cell_angle_alpha 60.00
_cell_angle_beta 60.00
_cell_angle_gamma 60.00
loop_
_symmetry_equiv_pos_as_xyz
'x,y,z'
loop_
_atom_site_label
_atom_site_fract_x
_atom_site_fract_y
_atom_site_fract_z
Co1 0.000 0.000 0.000
Co2 0.250 0.250 0.250
Ni1 0.500 0.500 0.500
Os1 0.750 0.750 0.750
# Formation energy from the elements ... 327 meV per atom
# Theoretical density ... 12929 kg/m3
# E ... -7.48 eV/atom
# Energy above the most stable polymorph in this dataset ... 0.86 eV/f.u.
# Crystal system ... cubic
# Volume ... 47.1 Å³/cell

***

# PBE-GGA YGePt2, relaxed
data_YGePt2
_chemical_formula_sum 'Y1 Ge1 Pt2'
_symmetry_space_group_name_H-M 'P 1'
_symmetry_Int_Tables_number 1
_cell_length_a 3.650
_cell_length_b 4.075
_cell_length_c 5.545
_cell_angle_alpha 90.00
_cell_angle_beta 90.00
_cell_angle_gamma 90.00
loop_
_symmetry_equiv_pos_as_xyz
'x,y,z'
loop_
_atom_site_label
_atom_site_fract_x
_atom_site_fract_y
_atom_site_fract_z
Y1 0.000 0.000 0.000
Ge1 0.500 0.000 0.500
Pt1 0.500 0.500 0.243
Pt2 0.500 0.500 0.757
# Formation energy from the elements ... -872 meV per atom
# Theoretical density ... 11107 kg/m3
# E ... -6.66 eV/atom
# Crystal system ... orthorhombic
# Volume ... 82.5 Å³/cell

***

# PBE-GGA Re2HgAs, relaxed
data_Re2HgAs
_chemical_formula_sum 'Re2 Hg1 As1'
_symmetry_space_group_name_H-M 'P 1'
_symmetry_Int_Tables_number 1
_cell_length_a 4.495
_cell_length_b 4.495
_cell_length_c 3.188
_cell_angle_alpha 90.00
_cell_angle_beta 90.00
_cell_angle_gamma 90.00
loop_
_symmetry_equiv_pos_as_xyz
'x,y,z'
loop_
_atom_site_label
_atom_site_fract_x
_atom_site_fract_y
_atom_site_fract_z
Re1 0.000 0.500 0.000
Re2 0.500 0.000 0.000
Hg1 0.000 0.000 0.500
As1 0.500 0.500 0.500
# Formation energy from the elements ... 936 meV per atom
# Theoretical density ... 16703 kg/m3
# E ... -6.53 eV/atom
# Energy above the most stable polymorph in this dataset ... 2.63 eV/f.u.
# Crystal system ... tetragonal
# Volume ... 64.4 Å³/cell

***

Question: Among the records above, which one has the highest volume?
Answer: Ce5Sb2Rh

***

Question: Number 6 is which compound?
Answer: YGePt2

***

Question: The lowest E belongs to which entry?
Answer: Co2NiOs

***

Question: What is the E in the first record?
Answer: -5.66 eV/atom